Record 1
Compound: Tb3Pr2SmHo6
Source: Alexandria
Functional: GGA-PBE
Structure: optimized geometry

Computed properties:
E_form ... 0.017 eV/atom
SG ... C2/m (12)
Crystal system ... monoclinic

Cell: 6.1962 6.1962 11.7932 Å, 95.01 95.01 119.98°
Last column: nearest neighbours and their distance in Å.
Atoms (fractional coordinates):
Tb1 0.1666 0.8334 0.5000  6 Ho 3.53, 6 Tb 3.57-3.58
Tb2 0.8334 0.1666 0.5000  6 Ho 3.53, 6 Tb 3.57-3.58
Tb3 0.5000 0.5000 0.5000  6 Ho 3.53, 6 Tb 3.58
Pr1 0.3333 0.6667 0.0000  3 Sm 3.58, 3 Pr 3.58, 6 Ho 3.59-3.60
Pr2 0.6667 0.3333 0.0000  3 Sm 3.58, 3 Pr 3.58, 6 Ho 3.59-3.60
Sm1 0.0000 0.0000 0.0000  6 Pr 3.58, 6 Ho 3.59
Ho1 0.9151 0.5821 0.7467  3 Tb 3.53, 6 Ho 3.57-3.58, 2 Pr 3.59-3.60, 1 Sm 3.59
Ho2 0.7520 0.7520 0.2533  3 Tb 3.53, 6 Ho 3.57-3.58, 1 Sm 3.59, 2 Pr 3.60
Ho3 0.0849 0.4179 0.2533  3 Tb 3.53, 6 Ho 3.57-3.58, 2 Pr 3.59-3.60, 1 Sm 3.59
Ho4 0.5821 0.9151 0.7467  3 Tb 3.53, 6 Ho 3.57-3.58, 2 Pr 3.59-3.60, 1 Sm 3.59
Ho5 0.2480 0.2480 0.7467  3 Tb 3.53, 6 Ho 3.57-3.58, 1 Sm 3.59, 2 Pr 3.60
Ho6 0.4179 0.0849 0.2533  3 Tb 3.53, 6 Ho 3.57-3.58, 2 Pr 3.59-3.60, 1 Sm 3.59

***

Record 2
Compound: Sc2CrAgGe
Source: Alexandria
Functional: GGA-PBE
Structure: optimized geometry

Computed properties:
E_form ... 0.726 eV/atom
SG ... P4/mmm (123)
Crystal system ... tetragonal

Cell: 5.1871 4.6906 5.1871 Å, 90.00 90.00 90.00°
Last column: nearest neighbours and their distance in Å.
Atoms (fractional coordinates):
Sc1 0.0000 0.0000 0.5000  2 Ag 2.59
Sc2 0.5000 0.0000 0.0000  2 Ag 2.59
Cr1 0.5000 0.5000 0.5000  8 Sc 3.50, 4 Ge 3.67
Ge1 0.0000 0.5000 0.0000  2 Ag 2.35
Ag1 0.0000 0.0000 0.0000  2 Ge 2.35, 4 Sc 2.59

***

Record 3
Compound: HgAs5
Source: Alexandria
Functional: GGA-PBE
Structure: optimized geometry

Computed properties:
Polymorph energy (0 for the lowest one) ... 47 kJ/mol of formula units
E_form ... 0.278 eV/atom
SG ... Amm2 (38)
Crystal system ... orthorhombic

Cell: 10.0562 10.0562 4.4248 Å, 90.00 90.00 159.80°
Last column: nearest neighbours and their distance in Å.
Atoms (fractional coordinates):
Hg1 0.1729 0.8271 0.5000  6 As 3.26-3.31, 2 Hg 3.53
As1 0.0072 0.9928 0.0000  2 As 2.42
As2 0.3361 0.6639 0.0000  6 As 2.67-2.86
As3 0.5907 0.4093 0.0000  2 As 2.42
As4 0.4118 0.5882 0.5000  4 As 2.61-2.67
As5 0.8145 0.1855 0.5000  6 As 2.61-2.86

***

Record 4
Compound: Ni2SnOsPt
Source: Alexandria
Functional: GGA-PBE
Structure: optimized geometry

Computed properties:
E_form ... 1.737 eV/atom
SG ... P4/mmm (123)
Crystal system ... tetragonal

Cell: 4.5339 4.8826 4.5339 Å, 90.00 90.00 90.00°
Last column: nearest neighbours and their distance in Å.
Atoms (fractional coordinates):
Ni1 0.0000 0.0000 0.5000  2 Sn 2.27
Ni2 0.5000 0.0000 0.0000  2 Sn 2.27
Os1 0.5000 0.5000 0.5000  4 Pt 3.21, 8 Ni 3.33
Sn1 0.0000 0.0000 0.0000  4 Ni 2.27, 2 Pt 2.44
Pt1 0.0000 0.5000 0.0000  2 Sn 2.44

***

Record 5
Compound: POsN2
Source: Alexandria
Functional: GGA-PBE
Structure: optimized geometry

Computed properties:
SG ... Cm (8)
Uncorrected energy ... -7.713 eV per atom
Crystal system ... monoclinic

Cell: 4.6683 3.4145 6.2711 Å, 90.00 114.12 90.00°
Last column: nearest neighbours and their distance in Å.
Atoms (fractional coordinates):
P1 0.4051 0.0000 0.0174  2 N 1.65-1.66
P2 0.4051 0.5000 0.5174  2 N 1.65-1.66
Os1 0.9588 0.0000 0.4084  5 N 2.05-2.15
Os2 0.9588 0.5000 0.9084  5 N 2.05-2.15
N1 0.0963 0.0000 0.7642  1 P 1.65
N2 0.0963 0.5000 0.2642  1 P 1.65
N3 0.7469 0.0000 0.9952  1 P 1.66
N4 0.7469 0.5000 0.4952  1 P 1.66

***

Record 6
Compound: ThTcB2
Source: Alexandria
Functional: GGA-PBE
Structure: optimized geometry

Computed properties:
Polymorph energy (0 for the lowest one) ... 0 kJ/mol of formula units
E_form ... -0.443 eV/atom
SG ... Cmcm (63)
Crystal system ... orthorhombic

Cell: 3.2017 5.5379 6.6417 Å, 90.00 103.94 90.00°
Last column: nearest neighbours and their distance in Å.
Atoms (fractional coordinates):
Th1 0.9211 0.7500 0.8423  6 B 2.83-2.93
Th2 0.0789 0.2500 0.1577  6 B 2.83-2.93
Tc1 0.6539 0.7500 0.3077  6 B 2.22-2.24
Tc2 0.3461 0.2500 0.6923  6 B 2.22-2.24
B1 0.2539 0.5881 0.5078  3 B 1.79-1.88
B2 0.7461 0.4119 0.4922  3 B 1.79-1.88
B3 0.7461 0.0881 0.4922  3 B 1.79-1.88
B4 0.2539 0.9119 0.5078  3 B 1.79-1.88

***

Record 7
Compound: SnAs2I
Source: Alexandria
Functional: GGA-PBE
Structure: optimized geometry

Computed properties:
Polymorph energy (0 for the lowest one) ... 0 kJ/mol of formula units
SG ... I-42d (122)
Crystal system ... tetragonal

Cell: 7.2843 7.2843 7.2613 Å, 59.90 59.90 90.00°
Last column: nearest neighbours and their distance in Å.
Atoms (fractional coordinates):
I1 0.0000 0.0000 0.0000  4 As 3.06
I2 0.7500 0.2500 0.5000  4 As 3.06
As1 0.5863 0.1250 0.2500  2 Sn 2.71
As2 0.1638 0.6250 0.2500  2 Sn 2.71
As3 0.3750 0.4138 0.7500  2 Sn 2.71
As4 0.8750 0.8362 0.7500  2 Sn 2.71
Sn1 0.5000 0.5000 0.0000  4 As 2.71
Sn2 0.2500 0.7500 0.5000  4 As 2.71

***

Record 8
Compound: ZrHgMo2
Source: Alexandria
Functional: GGA-PBE
Structure: optimized geometry

Computed properties:
E_form ... 0.371 eV/atom
SG ... Cm (8)
Crystal system ... monoclinic

Cell: 5.0114 5.0114 5.0687 Å, 82.37 82.37 36.03°
Last column: nearest neighbours and their distance in Å.
Atoms (fractional coordinates):
Hg1 0.7464 0.7464 0.7492  3 Zr 2.88-2.95, 7 Mo 2.91-3.04, 2 Hg 3.10
Mo1 0.0064 0.0064 0.0178  3 Mo 2.73-2.94, 2 Zr 2.88, 3 Hg 2.94-2.99
Mo2 0.2542 0.2542 0.2325  3 Mo 2.73-2.94, 1 Zr 2.81, 4 Hg 2.91-3.04
Zr1 0.4930 0.4930 0.5005  7 Mo 2.81-3.08, 3 Hg 2.88-2.95, 2 Zr 3.10